a:
DFT (PBE) results for an optimized crystal structure of CuHPd2Pt.

```
5
Lattice="-0.158 3.675 1.549 -3.915 -0.439 0.642 0.746 -1.463 3.546" Properties=species:S:1:pos:R:3 pbc="T T T"
H 0.000 0.000 0.000
Cu -1.664 0.887 2.869
Pd -1.957 -0.219 0.321
Pd -0.079 1.838 0.775
Pt 0.373 -0.731 1.773
```

calculated density	12.6	Mg/m³
crystal system	tetragonal
symmetry	P4/mmm (123)


b:
DFT (PBE) results for an optimized crystal structure of CuHPd2Pt.

```
5
Lattice="-1.230 3.672 -0.810 -1.817 0.166 3.510 3.268 1.452 1.623" Properties=species:S:1:pos:R:3 pbc="T T T"
H 0.000 0.000 0.000
Cu 1.634 0.726 0.811
Pd -0.908 0.083 1.755
Pd -0.615 1.836 -0.405
Pt 0.111 2.645 2.162
```

calculated density	12.8	Mg/m³
crystal system	tetragonal
symmetry	P4/mmm (123)


Best to worst by energy: a, b.


a:
DFT (PBE) results for an optimized crystal structure of Cu2HPdRh.

```
5
Lattice="4.021 0.000 0.000 0.000 4.021 0.000 0.000 0.000 3.528" Properties=species:S:1:pos:R:3 pbc="T T T"
H 0.000 0.000 0.000
Rh 2.010 2.010 1.764
Cu 0.000 2.010 0.000
Cu 2.010 0.000 0.000
Pd 0.000 0.000 1.764
```

calculated density	9.8	Mg/m³
crystal system	tetragonal
symmetry	P4/mmm (123)


b:
DFT (PBE) results for an optimized crystal structure of Cu2HPdRh.

```
5
Lattice="3.995 0.000 0.000 0.000 3.995 0.000 0.000 0.000 3.562" Properties=species:S:1:pos:R:3 pbc="T T T"
H 0.000 0.000 0.000
Rh 0.000 0.000 1.781
Cu 0.000 1.998 0.000
Cu 1.998 0.000 0.000
Pd 1.998 1.998 1.781
```

calculated density	9.9	Mg/m³
crystal system	tetragonal
symmetry	P4/mmm (123)


Best to worst by energy: b, a.


a:
DFT (PBE) results for an optimized crystal structure of CuHPd2Rh.

```
5
Lattice="-2.710 2.287 1.811 -1.992 0.354 -3.429 -2.046 -3.111 0.867" Properties=species:S:1:pos:R:3 pbc="T T T"
H 0.000 0.000 0.000
Rh -1.023 -1.555 0.434
Cu -3.374 -0.235 -0.375
Pd -0.996 0.177 -1.715
Pd -1.355 1.144 0.905
```

calculated density	10.4	Mg/m³
crystal system	tetragonal
symmetry	P4/mmm (123)


b:
DFT (PBE) results for an optimized crystal structure of CuHPd2Rh.

```
5
Lattice="-0.011 -3.315 2.090 2.689 -1.527 -2.407 2.851 1.427 2.279" Properties=species:S:1:pos:R:3 pbc="T T T"
H 0.000 0.000 0.000
Rh 2.764 -1.707 0.981
Cu 1.425 0.714 1.139
Pd 1.344 -0.764 -1.204
Pd -0.006 -1.657 1.045
```

calculated density	10.5	Mg/m³
crystal system	tetragonal
symmetry	P4/mmm (123)


Best to worst by energy: a, b.